Computed, not measured: a relaxed structure of Mn2HF at the PBE+U level of DFT.

Output
D(E_F)   1.745 states/eV/f.u.

Cell: 4.9021 4.9021 9.0554 Å, 90.00 90.00 90.00°
With the nearest neighbours (Å) after each atom.
Space group I-42d (No. 122)
Inequivalent atoms, fractional coordinates:
Mn 0.2061 0.2500 0.1250 x8  2 H 1.95
H 0.0000 0.0000 0.0000 x4  4 Mn 1.95
F 0.0000 0.0000 0.5000 x4  4 Mn 2.20

=====

Computed, not measured: a relaxed structure of MnH2F at the PBE+U level of DFT.

Output
D(E_F)   0.198 states/eV/f.u.

Cell: 5.0342 5.0342 5.0342 Å, 90.00 90.00 90.00°
With the nearest neighbours (Å) after each atom.
Space group Fm-3m (No. 225)
Inequivalent atoms, fractional coordinates:
Mn 0.0000 0.0000 0.0000 x4  8 H 2.18
H 0.2500 0.2500 0.2500 x8  4 F 2.18, 4 Mn 2.18
F 0.0000 0.0000 0.5000 x4  8 H 2.18

=====

Computed, not measured: a relaxed structure of MnH2F at the PBE+U level of DFT.

Output
D(E_F)   0.356 states/eV/f.u.

Cell: 6.4143 6.4143 4.0048 Å, 90.00 90.00 90.00°
With the nearest neighbours (Å) after each atom.
Space group I-42d (No. 122)
Inequivalent atoms, fractional coordinates:
Mn 0.0000 0.0000 0.0000 x4  4 H 1.82, 2 F 2.00
H 0.1099 0.2500 0.1250 x8  2 Mn 1.82
F 0.0000 0.0000 0.5000 x4  2 Mn 2.00

=====

Computed, not measured: a relaxed structure of MnH2F8 at the PBE+U level of DFT.

Cell: 8.9468 8.4603 4.9179 Å, 90.00 123.03 90.00°
With the nearest neighbours (Å) after each atom.
Space group C2/m (No. 12)
Inequivalent atoms, fractional coordinates:
Mn 0.0000 0.0000 0.0000 x2  6 F 1.76-1.89
H 0.1586 0.5000 0.4499 x4  2 F 1.13-1.19
F 0.0087 0.5000 0.3117 x4  1 H 1.13
F 0.1108 0.1475 0.9211 x8  1 Mn 1.76
F 0.1861 0.0000 0.4429 x4  1 H 1.19

=====

| no. | energy (eV/atom) | calculated density (g cm⁻³) |
| --- | --- | --- |
| 1 | -5.466 | 3.96 |
| 2 | -4.171 | 3.95 |
| 3 | -4.471 | 3.06 |
| 4 | -4.062 | 2.22 |